# 1
Material: KRu2Rh
Method: DFT, PBE-GGA
State: optimized geometry

abc: 2.721 2.721 9.487
angles: 90.00 90.00 90.00
Positions (direct):
Ru  0.000  0.000  0.551
Ru  0.000  0.000  0.949
K  0.500  0.500  0.250
Rh  0.500  0.500  0.750

- Energy above the lowest structure with this stoichiometry: 178.4 meV/atom
- Calculated volume: 17.6 A^3/atom
- Magnetic moment: 0.001 Bohr magnetons per cell
- E_form: 772 meV/atom
- Density: 8.13 g/cm³

# 2
Material: LiOsRh
Method: DFT, PBE-GGA
State: optimized geometry

abc: 3.659 3.659 6.068
angles: 90.00 90.00 90.00
Positions (direct):
Rh  0.000  0.000  0.500
Rh  0.500  0.500  0.500
Li  0.500  0.000  0.785
Li  0.000  0.500  0.215
Os  0.500  0.000  0.179
Os  0.000  0.500  0.821

- Energy above the lowest structure with this stoichiometry: 641.6 meV/atom
- Calculated volume: 13.5 A^3/atom
- Magnetic moment: 0.887 Bohr magnetons per cell
- E_form: 631 meV/atom
- Density: 12.26 g/cm³